Record 1
## PmNdPd2 (PBE)

Data for an optimized crystal structure of PmNdPd2.

Its energy relative to the lowest polymorph listed for this composition is 0.71 eV per formula unit. Its energy of formation is -2.56 eV/f.u.

Structure (CIF):
```
data_PmNdPd2
_symmetry_space_group_name_H-M 'R 3 m'
_symmetry_Int_Tables_number 160
_symmetry_space_group_name_Hall 'R 3 -2"'
_cell_length_a 4.1308
_cell_length_b 4.1308
_cell_length_c 21.4332
_cell_angle_alpha 90.00
_cell_angle_beta 90.00
_cell_angle_gamma 120.00
loop_
_atom_site_label
_atom_site_fract_x
_atom_site_fract_y
_atom_site_fract_z
_atom_site_occupancy
Pm1 0.0000 0.0000 0.0000 1
Nd1 0.0000 0.0000 0.8275 1
Pd1 0.0000 0.0000 0.4141 1
Pd2 0.0000 0.0000 0.5796 1
```

Record 2
## La2TlW (PBE)

Data for an optimized crystal structure of La2TlW.

Its energy relative to the lowest polymorph listed for this composition is 0.46 eV per formula unit. Its energy of formation is 1.59 eV/f.u.

Structure (CIF):
```
data_La2TlW
_symmetry_space_group_name_H-M 'I m m 2'
_symmetry_Int_Tables_number 44
_cell_length_a 3.705
_cell_length_b 5.270
_cell_length_c 11.234
_cell_angle_alpha 90.00
_cell_angle_beta 90.00
_cell_angle_gamma 90.00
loop_
_symmetry_equiv_pos_as_xyz
'x,y,z'
'-x,-y,z'
'-x,y,z'
'x,-y,z'
'x+1/2,y+1/2,z+1/2'
'-x+1/2,-y+1/2,z+1/2'
'-x+1/2,y+1/2,z+1/2'
'x+1/2,-y+1/2,z+1/2'
loop_
_atom_site_label
_atom_site_fract_x
_atom_site_fract_y
_atom_site_fract_z
_atom_site_occupancy
La1 0.000 0.000 0.000 1
La2 0.000 0.500 0.197 1
Tl1 0.000 0.500 0.784 1
W1 0.000 0.000 0.477 1
```

Record 3
## POs2Se (PBE)

Data for an optimized crystal structure of POs2Se.

Its energy relative to the lowest polymorph listed for this composition is 0.76 eV per formula unit. The formation energy without anion corrections is 0.386 eV per atom.

Structure (CIF):
```
data_POs2Se
_symmetry_space_group_name_H-M 'P 1 2/m 1'
_symmetry_Int_Tables_number 10
_cell_length_a 4.179
_cell_length_b 2.954
_cell_length_c 5.122
_cell_angle_alpha 90.00
_cell_angle_beta 113.93
_cell_angle_gamma 90.00
loop_
_symmetry_equiv_pos_as_xyz
'x,y,z'
'-x,-y,-z'
'-x,y,-z'
'x,-y,z'
loop_
_atom_site_label
_atom_site_fract_x
_atom_site_fract_y
_atom_site_fract_z
_atom_site_occupancy
P1 0.000 0.000 0.000 1
Os1 0.500 0.000 0.500 1
Os2 0.500 0.500 0.000 1
Se1 0.000 0.500 0.500 1
```

Record 4
## CsHg3S3 (PBE)

Data for an optimized crystal structure of CsHg3S3.

Its energy relative to the lowest polymorph listed for this composition is 0.15 eV per formula unit. The formation energy without anion corrections is -0.284 eV per atom.

Structure (CIF):
```
data_CsHg3S3
_symmetry_space_group_name_H-M 'R -3'
_symmetry_Int_Tables_number 148
_symmetry_space_group_name_Hall '-R 3'
_cell_length_a 7.8089
_cell_length_b 7.8089
_cell_length_c 25.9363
_cell_angle_alpha 90.00
_cell_angle_beta 90.00
_cell_angle_gamma 120.00
loop_
_atom_site_label
_atom_site_fract_x
_atom_site_fract_y
_atom_site_fract_z
_atom_site_occupancy
Cs1 0.0000 0.0000 0.1668 1
Hg1 0.0069 0.6919 0.6155 1
S1 0.0054 0.6569 0.3990 1
```

Record 5
## Gd2YSi (PBE)

Data for an optimized crystal structure of Gd2YSi.

The formation energy without anion corrections is -0.267 eV per atom.

Structure (CIF):
```
data_Gd2YSi
_symmetry_space_group_name_H-M 'P 4/m m m'
_symmetry_Int_Tables_number 123
_symmetry_space_group_name_Hall '-P 4 2'
_cell_length_a 4.634
_cell_length_b 4.634
_cell_length_c 4.730
_cell_angle_alpha 90.00
_cell_angle_beta 90.00
_cell_angle_gamma 90.00
loop_
_atom_site_label
_atom_site_fract_x
_atom_site_fract_y
_atom_site_fract_z
_atom_site_occupancy
Gd1 0.000 0.500 0.000 1
Y1 0.000 0.000 0.500 1
Si1 0.500 0.500 0.500 1
```

Record 6
## UGa2Bi (PBE)

Data for an optimized crystal structure of UGa2Bi.

Its energy relative to the lowest polymorph listed for this composition is 1.23 eV per formula unit. Its energy of formation is 0.84 eV/f.u.

Structure (CIF):
```
data_UGa2Bi
_symmetry_space_group_name_H-M 'F m -3 m'
_symmetry_Int_Tables_number 225
_symmetry_space_group_name_Hall '-F 4 2 3'
_cell_length_a 7.265
_cell_length_b 7.265
_cell_length_c 7.265
_cell_angle_alpha 90.00
_cell_angle_beta 90.00
_cell_angle_gamma 90.00
loop_
_atom_site_label
_atom_site_fract_x
_atom_site_fract_y
_atom_site_fract_z
_atom_site_occupancy
U1 0.000 0.000 0.000 1
Ga1 0.250 0.250 0.250 1
Bi1 0.000 0.000 0.500 1
```

Record 7
## YSi2Os (PBE)

Data for an optimized crystal structure of YSi2Os.

The formation energy without anion corrections is -0.274 eV per atom.

Structure (CIF):
```
data_YSi2Os
_symmetry_space_group_name_H-M 'P 1 m 1'
_symmetry_Int_Tables_number 6
_cell_length_a 3.708
_cell_length_b 3.811
_cell_length_c 5.159
_cell_angle_alpha 90.00
_cell_angle_beta 91.60
_cell_angle_gamma 90.00
loop_
_symmetry_equiv_pos_as_xyz
'x,y,z'
'x,-y,z'
loop_
_atom_site_label
_atom_site_fract_x
_atom_site_fract_y
_atom_site_fract_z
_atom_site_occupancy
Y1 0.000 0.000 0.000 1
Si1 0.487 0.500 0.764 1
Si2 0.520 0.000 0.465 1
Os1 0.977 0.500 0.472 1
```

Record 8
## Ag7BrF5 (PBE)

Data for an optimized crystal structure of Ag7BrF5.

The formation energy without anion corrections is -0.780 eV per atom.

Structure (CIF):
```
data_Ag7BrF5
_symmetry_space_group_name_H-M 'C 1 2/m 1'
_symmetry_Int_Tables_number 12
_cell_length_a 12.342
_cell_length_b 3.490
_cell_length_c 20.670
_cell_angle_alpha 90.00
_cell_angle_beta 90.60
_cell_angle_gamma 90.00
loop_
_symmetry_equiv_pos_as_xyz
'x,y,z'
'-x,-y,-z'
'-x,y,-z'
'x,-y,z'
'x+1/2,y+1/2,z'
'-x+1/2,-y+1/2,-z'
'-x+1/2,y+1/2,-z'
'x+1/2,-y+1/2,z'
loop_
_atom_site_label
_atom_site_fract_x
_atom_site_fract_y
_atom_site_fract_z
_atom_site_occupancy
Ag1 0.021 0.000 0.376 1
Ag2 0.047 0.000 0.888 1
Ag3 0.071 0.500 0.263 1
Ag4 0.155 0.500 0.509 1
Ag5 0.159 0.500 0.021 1
Ag6 0.209 0.000 0.185 1
Ag7 0.232 0.000 0.320 1
Br1 0.104 0.000 0.762 1
F1 0.000 0.000 0.000 1
F2 0.000 0.000 0.500 1
F3 0.105 0.500 0.126 1
F4 0.114 0.500 0.615 1
F5 0.171 0.500 0.403 1
F6 0.192 0.500 0.913 1
```

Record 9
## NiGePt3 (PBE)

Data for an optimized crystal structure of NiGePt3.

Its energy relative to the lowest polymorph listed for this composition is 5.28 eV per formula unit. Its energy of formation is 3.98 eV/f.u.

Structure (CIF):
```
data_NiGePt3
_symmetry_space_group_name_H-M 'P m -3 m'
_symmetry_Int_Tables_number 221
_symmetry_space_group_name_Hall '-P 4 2 3'
_cell_length_a 4.614
_cell_length_b 4.614
_cell_length_c 4.614
_cell_angle_alpha 90.00
_cell_angle_beta 90.00
_cell_angle_gamma 90.00
loop_
_atom_site_label
_atom_site_fract_x
_atom_site_fract_y
_atom_site_fract_z
_atom_site_occupancy
Ni1 0.000 0.000 0.000 1
Ge1 0.500 0.500 0.500 1
Pt1 0.000 0.500 0.500 1
```

Record 10
## NdHo2Ag2 (PBE)

Data for an optimized crystal structure of NdHo2Ag2.

Its energy relative to the lowest polymorph listed for this composition is 0.00 eV per formula unit. Its energy of formation is -1.11 eV/f.u.

Structure (CIF):
```
data_NdHo2Ag2
_symmetry_space_group_name_H-M 'P 1 21/m 1'
_symmetry_Int_Tables_number 11
_cell_length_a 3.648
_cell_length_b 5.336
_cell_length_c 13.634
_cell_angle_alpha 90.00
_cell_angle_beta 97.66
_cell_angle_gamma 90.00
loop_
_symmetry_equiv_pos_as_xyz
'x,y,z'
'-x,-y,-z'
'-x,y+1/2,-z'
'x,-y+1/2,z'
loop_
_atom_site_label
_atom_site_fract_x
_atom_site_fract_y
_atom_site_fract_z
_atom_site_occupancy
Nd1 0.146 0.250 0.291 1
Ho1 0.047 0.750 0.095 1
Ho2 0.235 0.750 0.469 1
Ag1 0.357 0.250 0.715 1
Ag2 0.456 0.750 0.913 1
```

Record 11
## Er2ZnPt (PBE)

Data for an optimized crystal structure of Er2ZnPt.

Its energy of formation is -3.34 eV/f.u.

Structure (CIF):
```
data_Er2ZnPt
_symmetry_space_group_name_H-M 'P 4/m m m'
_symmetry_Int_Tables_number 123
_symmetry_space_group_name_Hall '-P 4 2'
_cell_length_a 3.519
_cell_length_b 3.519
_cell_length_c 6.889
_cell_angle_alpha 90.00
_cell_angle_beta 90.00
_cell_angle_gamma 90.00
loop_
_atom_site_label
_atom_site_fract_x
_atom_site_fract_y
_atom_site_fract_z
_atom_site_occupancy
Er1 0.000 0.000 0.243 1
Zn1 0.500 0.500 0.500 1
Pt1 0.500 0.500 0.000 1
```

Record 12
## HfScTi2N (PBE)

Data for an optimized crystal structure of HfScTi2N.

Its energy relative to the lowest polymorph listed for this composition is 0.00 eV per formula unit. The formation energy without anion corrections is -0.660 eV per atom.

Structure (CIF):
```
data_HfScTi2N
_symmetry_space_group_name_H-M 'P 4/m m m'
_symmetry_Int_Tables_number 123
_symmetry_space_group_name_Hall '-P 4 2'
_cell_length_a 4.245
_cell_length_b 4.245
_cell_length_c 4.531
_cell_angle_alpha 90.00
_cell_angle_beta 90.00
_cell_angle_gamma 90.00
loop_
_atom_site_label
_atom_site_fract_x
_atom_site_fract_y
_atom_site_fract_z
_atom_site_occupancy
Hf1 0.000 0.000 0.000 1
Sc1 0.500 0.500 0.000 1
Ti1 0.000 0.500 0.500 1
N1 0.000 0.000 0.500 1
```